{
  "formula": "TcH3I",
  "functional": "PBE",
  "state": "optimized geometry",
  "total_energy_ev_per_atom": -3.616,
  "sg": "Pm-3m (221)",
  "relative_energy_mev_per_atom": 0,
  "dos_at_fermi_per_ev_atom": 0.742,
  "magmom_total_mub_per_cell": 0.000,
  "cell": [[-2.8753, -1.5616, 1.8293], [-0.1873, -2.6971, -2.5968], [2.3979, -2.0832, 1.9907]],
  "species": ["I", "H", "H", "H", "Tc"],
  "fractional_positions": [[0.5000, 0.5000, 0.5000], [0.0000, 0.5000, 0.0000], [0.0000, 0.0000, 0.5000], [0.5000, 0.0000, 0.0000], [0.0000, 0.0000, 0.0000]]
}


{
  "formula": "TcHI3",
  "functional": "PBE",
  "state": "optimized geometry",
  "total_energy_ev_per_atom": -3.693,
  "sg": "C2/c (15)",
  "relative_energy_mev_per_atom": 0,
  "magmom_total_mub_per_cell": 0.000,
  "cell": [[7.8044, 7.4532, 0.2273], [-7.8044, 7.4532, 0.2273], [0.0000, 1.7210, 7.5210]],
  "species": ["Tc", "Tc", "Tc", "Tc", "H", "H", "H", "H", "I", "I", "I", "I", "I", "I", "I", "I", "I", "I", "I", "I"],
  "fractional_positions": [[0.0703, 0.9297, 0.7500], [0.9297, 0.0703, 0.2500], [0.9300, 0.0700, 0.7500], [0.0700, 0.9300, 0.2500], [0.5963, 0.4008, 0.9922], [0.5992, 0.4037, 0.5078], [0.4037, 0.5992, 0.0078], [0.4008, 0.5963, 0.4922], [0.2397, 0.0063, 0.4398], [0.9937, 0.7603, 0.0602], [0.7603, 0.9937, 0.5602], [0.0063, 0.2397, 0.9398], [0.7591, 0.9966, 0.0596], [0.0034, 0.2409, 0.4404], [0.2409, 0.0034, 0.9404], [0.9966, 0.7591, 0.5596], [0.4841, 0.2928, 0.5536], [0.7072, 0.5159, 0.9464], [0.5159, 0.7072, 0.4464], [0.2928, 0.4841, 0.0536]]
}


{
  "formula": "TcHI4",
  "functional": "PBE",
  "state": "optimized geometry",
  "total_energy_ev_per_atom": -3.313,
  "sg": "C2/c (15)",
  "dos_at_fermi_per_ev_atom": 0.433,
  "magmom_total_mub_per_cell": 4.001,
  "cell": [[-6.0745, -1.3611, 3.1018], [1.4726, -6.4286, 1.3421], [4.5654, -0.5252, 9.3500]],
  "species": ["Tc", "Tc", "H", "H", "I", "I", "I", "I", "I", "I", "I", "I"],
  "fractional_positions": [[0.7500, 0.0484, 0.4032], [0.2500, 0.9516, 0.5968], [0.2500, 0.3577, 0.7845], [0.7500, 0.6423, 0.2155], [0.3841, 0.0869, 0.7999], [0.1159, 0.6131, 0.7999], [0.4052, 0.2778, 0.4046], [0.5948, 0.7222, 0.5954], [0.9052, 0.1823, 0.5954], [0.8841, 0.3869, 0.2001], [0.0948, 0.8177, 0.4046], [0.6159, 0.9131, 0.2001]]
}


{
  "formula": "TcH2I",
  "functional": "PBE",
  "state": "optimized geometry",
  "total_energy_ev_per_atom": -3.248,
  "sg": "Fm-3m (225)",
  "relative_energy_mev_per_atom": 762,
  "dos_at_fermi_per_ev_atom": 1.049,
  "magmom_total_mub_per_cell": 1.423,
  "cell": [[0.0000, 2.8942, 2.8942], [2.8942, 0.0000, 2.8942], [2.8942, 2.8942, 0.0000]],
  "species": ["I", "H", "H", "Tc"],
  "fractional_positions": [[0.5000, 0.5000, 0.5000], [0.2500, 0.2500, 0.2500], [0.7500, 0.7500, 0.7500], [0.0000, 0.0000, 0.0000]]
}


{
  "formula": "TcHI",
  "functional": "PBE",
  "state": "optimized geometry",
  "total_energy_ev_per_atom": -4.814,
  "sg": "P3_221 (154)",
  "dos_at_fermi_per_ev_atom": 0.352,
  "magmom_total_mub_per_cell": 0.000,
  "cell": [[-1.6512, 5.6247, -1.2190], [-0.5878, -2.1555, 5.5550], [5.3660, 1.8543, 1.2873]],
  "species": ["I", "I", "I", "H", "H", "H", "Tc", "Tc", "Tc"],
  "fractional_positions": [[0.6666, 0.9647, 0.2778], [0.0353, 0.7019, 0.9445], [0.2981, 0.3334, 0.6111], [0.9658, 0.6329, 0.4445], [0.6670, 0.0342, 0.7778], [0.3671, 0.3330, 0.1111], [0.8153, 0.3334, 0.6111], [0.5181, 0.1847, 0.9444], [0.6666, 0.4819, 0.2777]]
}


{
  "formula": "TcHI3",
  "functional": "PBE",
  "state": "optimized geometry",
  "total_energy_ev_per_atom": -2.196,
  "sg": "Pm-3m (221)",
  "relative_energy_mev_per_atom": 1496,
  "dos_at_fermi_per_ev_atom": 0.910,
  "magmom_total_mub_per_cell": 0.278,
  "cell": [[-4.6573, -1.2439, -0.2797], [0.8167, -2.0974, -4.2720], [0.9790, -4.1677, 2.2333]],
  "species": ["I", "I", "I", "H", "Tc"],
  "fractional_positions": [[0.0000, 0.5000, 0.0000], [0.0000, 0.0000, 0.5000], [0.5000, 0.0000, 0.0000], [0.0000, 0.0000, 0.0000], [0.5000, 0.5000, 0.5000]]
}


{
  "formula": "Tc2HI",
  "functional": "PBE",
  "state": "optimized geometry",
  "total_energy_ev_per_atom": -5.729,
  "sg": "I-42d (122)",
  "relative_energy_mev_per_atom": 0,
  "dos_at_fermi_per_ev_atom": 1.503,
  "magmom_total_mub_per_cell": 0.000,
  "cell": [[-0.9143, 4.7665, 0.4666], [-3.0346, -0.2090, -3.8106], [-5.9497, 1.2005, 1.5529]],
  "species": ["I", "I", "H", "H", "Tc", "Tc", "Tc", "Tc"],
  "fractional_positions": [[0.0000, 0.0000, 0.0000], [0.7500, 0.2500, 0.5000], [0.5000, 0.5000, 0.0000], [0.2500, 0.7500, 0.5000], [0.4731, 0.1250, 0.2500], [0.2769, 0.6250, 0.2500], [0.3750, 0.5269, 0.7500], [0.8750, 0.7231, 0.7500]]
}


{
  "formula": "TcH3I",
  "functional": "PBE",
  "state": "optimized geometry",
  "total_energy_ev_per_atom": -2.631,
  "sg": "Pm-3m (221)",
  "relative_energy_mev_per_atom": 985,
  "dos_at_fermi_per_ev_atom": 0.497,
  "magmom_total_mub_per_cell": 4.277,
  "cell": [[-0.2248, 1.2953, 3.9024], [0.6313, -3.8510, 1.3146], [4.0630, 0.6701, 0.0117]],
  "species": ["I", "H", "H", "H", "Tc"],
  "fractional_positions": [[0.0000, 0.0000, 0.0000], [0.0000, 0.5000, 0.0000], [0.0000, 0.0000, 0.5000], [0.5000, 0.0000, 0.0000], [0.5000, 0.5000, 0.5000]]
}


{
  "formula": "Tc2HI",
  "functional": "PBE",
  "state": "optimized geometry",
  "total_energy_ev_per_atom": -5.216,
  "sg": "Fm-3m (225)",
  "relative_energy_mev_per_atom": 513,
  "dos_at_fermi_per_ev_atom": 1.172,
  "magmom_total_mub_per_cell": 0.000,
  "cell": [[2.8415, 0.6841, 3.1859], [-0.7009, -1.6832, 3.9202], [2.4678, -3.2491, 1.4303]],
  "species": ["I", "H", "Tc", "Tc"],
  "fractional_positions": [[0.5000, 0.5000, 0.5000], [0.0000, 0.0000, 0.0000], [0.2500, 0.2500, 0.2500], [0.7500, 0.7500, 0.7500]]
}


{
  "formula": "Tc3HI",
  "functional": "PBE",
  "state": "optimized geometry",
  "total_energy_ev_per_atom": -4.503,
  "sg": "Pm-3m (221)",
  "relative_energy_mev_per_atom": 1838,
  "dos_at_fermi_per_ev_atom": 1.293,
  "magmom_total_mub_per_cell": 3.503,
  "cell": [[4.8759, 0.0000, 0.0000], [0.0000, 4.8759, 0.0000], [0.0000, 0.0000, 4.8759]],
  "species": ["I", "H", "Tc", "Tc", "Tc"],
  "fractional_positions": [[0.0000, 0.0000, 0.0000], [0.5000, 0.5000, 0.5000], [0.0000, 0.5000, 0.0000], [0.0000, 0.0000, 0.5000], [0.5000, 0.0000, 0.0000]]
}


{
  "formula": "TcHI3",
  "functional": "PBE",
  "state": "optimized geometry",
  "total_energy_ev_per_atom": -3.010,
  "sg": "Pm-3m (221)",
  "relative_energy_mev_per_atom": 683,
  "dos_at_fermi_per_ev_atom": 0.281,
  "magmom_total_mub_per_cell": 4.730,
  "cell": [[-1.7848, 4.6760, -2.5501], [0.1284, -2.6509, -4.9507], [-5.3246, -1.6313, 0.7354]],
  "species": ["I", "I", "I", "H", "Tc"],
  "fractional_positions": [[0.0000, 0.5000, 0.0000], [0.0000, 0.0000, 0.5000], [0.5000, 0.0000, 0.0000], [0.5000, 0.5000, 0.5000], [0.0000, 0.0000, 0.0000]]
}


{
  "formula": "TcH2I",
  "functional": "PBE",
  "state": "optimized geometry",
  "total_energy_ev_per_atom": -4.010,
  "sg": "I-42d (122)",
  "relative_energy_mev_per_atom": 0,
  "dos_at_fermi_per_ev_atom": 0.744,
  "magmom_total_mub_per_cell": 1.678,
  "cell": [[5.9574, 0.0000, 0.0000], [0.0000, 5.9574, 0.0000], [2.9787, 2.9787, 2.9692]],
  "species": ["I", "I", "H", "H", "H", "H", "Tc", "Tc"],
  "fractional_positions": [[0.0000, 0.0000, 0.0000], [0.7500, 0.2500, 0.5000], [0.2715, 0.1250, 0.2500], [0.4785, 0.6250, 0.2500], [0.3750, 0.7285, 0.7500], [0.8750, 0.5215, 0.7500], [0.5000, 0.5000, 0.0000], [0.2500, 0.7500, 0.5000]]
}


{
  "formula": "Tc3HI",
  "functional": "PBE",
  "state": "optimized geometry",
  "total_energy_ev_per_atom": -6.342,
  "sg": "Pm-3m (221)",
  "relative_energy_mev_per_atom": 0,
  "dos_at_fermi_per_ev_atom": 1.064,
  "magmom_total_mub_per_cell": 1.337,
  "cell": [[4.0692, 0.0000, 0.0000], [0.0000, 4.0692, 0.0000], [0.0000, 0.0000, 4.0692]],
  "species": ["I", "H", "Tc", "Tc", "Tc"],
  "fractional_positions": [[0.5000, 0.5000, 0.5000], [0.0000, 0.0000, 0.0000], [0.0000, 0.5000, 0.0000], [0.0000, 0.0000, 0.5000], [0.5000, 0.0000, 0.0000]]
}


{
  "formula": "TcTeHI2",
  "functional": "PBE",
  "state": "optimized geometry",
  "total_energy_ev_per_atom": -3.246,
  "sg": "P4/mmm (123)",
  "relative_energy_mev_per_atom": 0,
  "dos_at_fermi_per_ev_atom": 0.742,
  "magmom_total_mub_per_cell": 2.746,
  "cell": [[-1.8205, -5.4032, 0.2399], [2.8650, -1.1781, -4.7927], [4.0903, -1.2559, 2.7539]],
  "species": ["I", "I", "H", "Te", "Tc"],
  "fractional_positions": [[0.0000, 0.5000, 0.0000], [0.5000, 0.0000, 0.0000], [0.5000, 0.5000, 0.5000], [0.0000, 0.0000, 0.5000], [0.0000, 0.0000, 0.0000]]
}


{
  "formula": "TcTeHI2",
  "functional": "PBE",
  "state": "optimized geometry",
  "total_energy_ev_per_atom": -2.972,
  "sg": "P4/mmm (123)",
  "relative_energy_mev_per_atom": 274,
  "dos_at_fermi_per_ev_atom": 0.580,
  "magmom_total_mub_per_cell": 3.801,
  "cell": [[5.7401, 0.0000, 0.0000], [0.0000, 5.7401, 0.0000], [0.0000, 0.0000, 3.8203]],
  "species": ["I", "I", "H", "Te", "Tc"],
  "fractional_positions": [[0.0000, 0.5000, 0.0000], [0.5000, 0.0000, 0.0000], [0.0000, 0.0000, 0.0000], [0.0000, 0.0000, 0.5000], [0.5000, 0.5000, 0.5000]]
}


{
  "formula": "TcTe2HI",
  "functional": "PBE",
  "state": "optimized geometry",
  "total_energy_ev_per_atom": -3.187,
  "sg": "P4/mmm (123)",
  "relative_energy_mev_per_atom": 340,
  "dos_at_fermi_per_ev_atom": 1.237,
  "magmom_total_mub_per_cell": 0.005,
  "cell": [[-2.0533, -3.0853, -2.3253], [3.7190, -0.8653, -2.1358], [1.2754, -3.6313, 3.6920]],
  "species": ["I", "H", "Te", "Te", "Tc"],
  "fractional_positions": [[0.0000, 0.0000, 0.5000], [0.0000, 0.0000, 0.0000], [0.0000, 0.5000, 0.0000], [0.5000, 0.0000, 0.0000], [0.5000, 0.5000, 0.5000]]
}


{
  "formula": "TcTe2HI",
  "functional": "PBE",
  "state": "optimized geometry",
  "total_energy_ev_per_atom": -3.528,
  "sg": "P4/mmm (123)",
  "relative_energy_mev_per_atom": 0,
  "dos_at_fermi_per_ev_atom": 0.870,
  "magmom_total_mub_per_cell": 0.581,
  "cell": [[5.1264, 0.0000, 0.0000], [0.0000, 5.1264, 0.0000], [0.0000, 0.0000, 5.9528]],
  "species": ["I", "H", "Te", "Te", "Tc"],
  "fractional_positions": [[0.0000, 0.0000, 0.5000], [0.5000, 0.5000, 0.5000], [0.0000, 0.5000, 0.0000], [0.5000, 0.0000, 0.0000], [0.0000, 0.0000, 0.0000]]
}


{
  "formula": "TcHWI2",
  "functional": "PBE",
  "state": "optimized geometry",
  "total_energy_ev_per_atom": -4.637,
  "sg": "P4/mmm (123)",
  "dos_at_fermi_per_ev_atom": 0.857,
  "magmom_total_mub_per_cell": 0.000,
  "cell": [[4.8350, 0.0000, 0.0000], [0.0000, 3.5111, 0.0000], [0.0000, 0.0000, 4.8350]],
  "species": ["I", "I", "H", "Tc", "W"],
  "fractional_positions": [[0.0000, 0.0000, 0.5000], [0.5000, 0.0000, 0.0000], [0.0000, 0.0000, 0.0000], [0.0000, 0.5000, 0.0000], [0.5000, 0.5000, 0.5000]]
}


{
  "formula": "Te2HI",
  "functional": "PBE",
  "state": "optimized geometry",
  "total_energy_ev_per_atom": -2.286,
  "sg": "R-3m (166)",
  "relative_energy_mev_per_atom": 454,
  "dos_at_fermi_per_ev_atom": 0.404,
  "magmom_total_mub_per_cell": 0.000,
  "cell": [[-4.0718, 1.9778, 5.4065], [-0.6620, 4.7044, 5.2108], [-4.0347, 5.2239, 2.4806]],
  "species": ["I", "H", "Te", "Te"],
  "fractional_positions": [[0.0000, 0.0000, 0.0000], [0.5000, 0.5000, 0.5000], [0.7948, 0.7948, 0.7948], [0.2052, 0.2052, 0.2052]]
}


{
  "formula": "Te3HI",
  "functional": "PBE",
  "state": "optimized geometry",
  "total_energy_ev_per_atom": -2.230,
  "sg": "Pm-3m (221)",
  "relative_energy_mev_per_atom": 0,
  "dos_at_fermi_per_ev_atom": 0.860,
  "magmom_total_mub_per_cell": 0.000,
  "cell": [[4.9423, 0.0000, 0.0000], [0.0000, 4.9423, 0.0000], [0.0000, 0.0000, 4.9423]],
  "species": ["I", "H", "Te", "Te", "Te"],
  "fractional_positions": [[0.5000, 0.5000, 0.5000], [0.0000, 0.0000, 0.0000], [0.0000, 0.5000, 0.0000], [0.0000, 0.0000, 0.5000], [0.5000, 0.0000, 0.0000]]
}